The following is a PBE calculation of Zn3O3F after structural relaxation, from Alexandria.

Summary:
The volume comes out at 175 Å³ per cell. The calculation puts the formation energy (no corrections) at -1263 meV/atom.

Cell lengths 5.5963, 5.5963, 5.5963 Å; angles 90.00, 90.00, 90.00 degrees
Element x y z (fractional)
1 Zn 0.0000 0.2500 0.5000
2 Zn 0.0000 0.7500 0.5000
3 Zn 0.2500 0.5000 0.0000
4 Zn 0.5000 0.0000 0.2500
5 Zn 0.5000 0.0000 0.7500
6 Zn 0.7500 0.5000 0.0000
7 O 0.0000 0.5000 0.2500
8 O 0.0000 0.5000 0.7500
9 O 0.2500 0.0000 0.5000
10 O 0.5000 0.2500 0.0000
11 O 0.5000 0.7500 0.0000
12 O 0.7500 0.0000 0.5000
13 F 0.0000 0.0000 0.0000
14 F 0.5000 0.5000 0.5000



The following is a PBE calculation of ZnO2F2 after structural relaxation, from Alexandria.

Summary:
The volume comes out at 142 Å³ per cell. The calculation puts the formation energy (no corrections) at -832 meV/atom.

Cell lengths 10.4144, 8.8428, 5.8625 Å; angles 87.73, 58.04, 34.23 degrees
Element x y z (fractional)
1 Zn 0.1250 0.1250 0.1250
2 Zn 0.8750 0.8750 0.8750
3 O 0.0984 0.6516 0.0984
4 O 0.3484 0.9016 0.3484
5 O 0.6516 0.0984 0.6516
6 O 0.9016 0.3484 0.9016
7 F 0.2996 0.2996 0.4504
8 F 0.4504 0.4504 0.2996
9 F 0.5496 0.5496 0.7004
10 F 0.7004 0.7004 0.5496



The following is a PBE calculation of ZnOF2 after structural relaxation, from Alexandria.

Summary:
The volume comes out at 115 Å³ per cell. The calculation puts the formation energy (no corrections) at -1673 meV/atom. The calculation puts the relative energy among the computed polymorphs at 4 meV per atom.

Cell lengths 3.2036, 3.2036, 12.9537 Å; angles 94.44, 94.44, 59.98 degrees
Element x y z (fractional)
1 Zn 0.2022 0.2022 0.1713
2 Zn 0.7978 0.7978 0.8287
3 O 0.0484 0.0484 0.5447
4 O 0.9516 0.9516 0.4553
5 F 0.1466 0.1466 0.9034
6 F 0.4486 0.4486 0.7537
7 F 0.5514 0.5514 0.2463
8 F 0.8534 0.8534 0.0966



The following is a PBE calculation of ZnO2F2 after structural relaxation, from Alexandria.

Summary:
The volume comes out at 64 Å³ per cell. The calculation puts the formation energy (no corrections) at -259 meV/atom.

Cell lengths 3.9244, 3.9244, 4.1291 Å; angles 90.00, 90.00, 90.00 degrees
Element x y z (fractional)
1 Zn 0.0000 0.0000 0.0000
2 O 0.0000 0.0000 0.5000
3 O 0.5000 0.5000 0.5000
4 F 0.0000 0.5000 0.0000
5 F 0.5000 0.0000 0.0000



The following is a PBE calculation of ZnO2F2 after structural relaxation, from Alexandria.

Summary:
The volume comes out at 55 Å³ per cell. The calculation puts the formation energy (no corrections) at 415 meV/atom.

Cell lengths 3.4595, 3.4595, 4.5661 Å; angles 90.00, 90.00, 90.00 degrees
Element x y z (fractional)
1 Zn 0.0000 0.0000 0.0000
2 O 0.0000 0.5000 0.5000
3 O 0.5000 0.0000 0.5000
4 F 0.5000 0.5000 0.0000
5 F 0.5000 0.5000 0.5000



The following is a PBE calculation of ZnOF2 after structural relaxation, from Alexandria.

Summary:
The volume comes out at 63 Å³ per cell. The calculation puts the formation energy (no corrections) at -966 meV/atom. The calculation puts the relative energy among the computed polymorphs at 710 meV per atom.

Cell lengths 7.6090, 7.6090, 7.6090 Å; angles 23.73, 23.73, 23.73 degrees
Element x y z (fractional)
1 Zn 0.0000 0.0000 0.0000
2 O 0.5000 0.5000 0.5000
3 F 0.3785 0.3785 0.3785
4 F 0.6215 0.6215 0.6215



The following is a PBE calculation of ZnOF2 after structural relaxation, from Alexandria.

Summary:
The volume comes out at 70 Å³ per cell. The calculation puts the formation energy (no corrections) at -339 meV/atom. The calculation puts the relative energy among the computed polymorphs at 1338 meV per atom.

Cell lengths 8.3304, 8.3304, 8.3304 Å; angles 21.75, 21.75, 21.75 degrees
Element x y z (fractional)
1 Zn 0.0000 0.0000 0.0000
2 O 0.5000 0.5000 0.5000
3 F 0.0711 0.0711 0.0711
4 F 0.9289 0.9289 0.9289



The following is a PBE calculation of ZnOF2 after structural relaxation, from Alexandria.

Summary:
The volume comes out at 40 Å³ per cell. The calculation puts the formation energy (no corrections) at -594 meV/atom. The calculation puts the relative energy among the computed polymorphs at 1083 meV per atom.

Cell lengths 3.8391, 3.8391, 3.8391 Å; angles 60.00, 60.00, 60.00 degrees
Element x y z (fractional)
1 Zn 0.0000 0.0000 0.0000
2 O 0.5000 0.5000 0.5000
3 F 0.2500 0.2500 0.2500
4 F 0.7500 0.7500 0.7500



The following is a PBE calculation of Zn2O2F5 after structural relaxation, from Alexandria.

Summary:
The volume comes out at 110 Å³ per cell. The calculation puts the formation energy (no corrections) at -1518 meV/atom.

Cell lengths 6.7866, 6.7866, 4.1164 Å; angles 90.00, 90.00, 144.62 degrees
Element x y z (fractional)
1 Zn 0.1537 0.8463 0.0000
2 Zn 0.8463 0.1537 0.0000
3 O 0.4542 0.5458 0.5000
4 O 0.5458 0.4542 0.5000
5 F 0.0000 0.0000 0.0000
6 F 0.1417 0.8583 0.5000
7 F 0.3140 0.6860 0.0000
8 F 0.6860 0.3140 0.0000
9 F 0.8583 0.1417 0.5000



The following is a PBE calculation of ZnOF2 after structural relaxation, from Alexandria.

Summary:
The volume comes out at 53 Å³ per cell. The calculation puts the formation energy (no corrections) at -1114 meV/atom. The calculation puts the relative energy among the computed polymorphs at 563 meV per atom.

Cell lengths 3.5632, 3.6858, 4.1715 Å; angles 74.03, 86.38, 86.70 degrees
Element x y z (fractional)
1 Zn 0.0000 0.0000 0.0000
2 O 0.4851 0.9218 0.2289
3 F 0.4449 0.1693 0.4562
4 F 0.9727 0.5566 0.8343



The following is a PBE calculation of ZnO2F4 after structural relaxation, from Alexandria.

Summary:
The volume comes out at 90 Å³ per cell. The calculation puts the formation energy (no corrections) at -357 meV/atom.

Cell lengths 6.2099, 6.2099, 5.1945 Å; angles 112.43, 112.43, 29.21 degrees
Element x y z (fractional)
1 Zn 0.0000 0.0000 0.0000
2 O 0.3040 0.3040 0.3189
3 O 0.6960 0.6960 0.6811
4 F 0.1097 0.1097 0.4200
5 F 0.4014 0.4014 0.0495
6 F 0.5986 0.5986 0.9505
7 F 0.8903 0.8903 0.5800



The following is a PBE calculation of Zn6O6F after structural relaxation, from Alexandria.

Summary:
The volume comes out at 178 Å³ per cell. The calculation puts the formation energy (no corrections) at -1322 meV/atom.

Cell lengths 5.6268, 5.6268, 5.6268 Å; angles 90.00, 90.00, 90.00 degrees
Element x y z (fractional)
1 Zn 0.0000 0.2427 0.5000
2 Zn 0.0000 0.7573 0.5000
3 Zn 0.2427 0.5000 0.0000
4 Zn 0.5000 0.0000 0.2427
5 Zn 0.5000 0.0000 0.7573
6 Zn 0.7573 0.5000 0.0000
7 O 0.0000 0.5000 0.2570
8 O 0.0000 0.5000 0.7430
9 O 0.2570 0.0000 0.5000
10 O 0.5000 0.2570 0.0000
11 O 0.5000 0.7430 0.0000
12 O 0.7430 0.0000 0.5000
13 F 0.0000 0.0000 0.0000



The following is a PBE calculation of ZnOF2 after structural relaxation, from Alexandria.

Summary:
The volume comes out at 47 Å³ per cell. The calculation puts the formation energy (no corrections) at -1084 meV/atom. The calculation puts the relative energy among the computed polymorphs at 592 meV per atom.

Cell lengths 3.2110, 3.7975, 4.7362 Å; angles 67.53, 70.62, 65.36 degrees
Element x y z (fractional)
1 Zn 0.0000 0.0000 0.0000
2 O 0.6204 0.0361 0.7203
3 F 0.2630 0.3540 0.1142
4 F 0.8612 0.7387 0.5346



The following is a PBE calculation of ZnOF2 after structural relaxation, from Alexandria.

Summary:
The volume comes out at 115 Å³ per cell. The calculation puts the formation energy (no corrections) at -1673 meV/atom. The calculation puts the relative energy among the computed polymorphs at 4 meV per atom.

Cell lengths 3.2041, 3.2041, 12.9239 Å; angles 92.17, 92.17, 59.94 degrees
Element x y z (fractional)
1 Zn 0.0000 0.0000 0.0000
2 Zn 0.6999 0.6999 0.3439
3 O 0.6525 0.6525 0.7175
4 O 0.7234 0.7234 0.6285
5 F 0.0257 0.0257 0.2693
6 F 0.3258 0.3258 0.9251
7 F 0.3742 0.3742 0.4189
8 F 0.6743 0.6743 0.0747



The following is a PBE calculation of ZnOF2 after structural relaxation, from Alexandria.

Summary:
The volume comes out at 54 Å³ per cell. The calculation puts the formation energy (no corrections) at -1118 meV/atom. The calculation puts the relative energy among the computed polymorphs at 559 meV per atom.

Cell lengths 3.5396, 3.6398, 4.3106 Å; angles 79.05, 88.95, 88.05 degrees
Element x y z (fractional)
1 Zn 0.0000 0.0000 0.0000
2 O 0.5029 0.0817 0.7814
3 F 0.0103 0.4603 0.1689
4 F 0.5234 0.8527 0.5320



The following is a PBE calculation of ZnOF2 after structural relaxation, from Alexandria.

Summary:
The volume comes out at 142 Å³ per cell. The calculation puts the formation energy (no corrections) at -1677 meV/atom. The calculation puts the relative energy among the computed polymorphs at 0 meV per atom.

Cell lengths 8.2689, 8.2689, 5.4997 Å; angles 92.29, 92.29, 22.26 degrees
Element x y z (fractional)
1 Zn 0.2494 0.2494 0.2495
2 Zn 0.7506 0.7506 0.7505
3 O 0.0034 0.0034 0.3888
4 O 0.9966 0.9966 0.6112
5 F 0.1900 0.1900 0.5768
6 F 0.3107 0.3107 0.9247
7 F 0.6893 0.6893 0.0753
8 F 0.8100 0.8100 0.4232



The following is a PBE calculation of Zn2O2F3 after structural relaxation, from Alexandria.

Summary:
The volume comes out at 106 Å³ per cell. The calculation puts the formation energy (no corrections) at -1527 meV/atom.

Cell lengths 5.7550, 5.7550, 5.7465 Å; angles 111.24, 111.24, 37.19 degrees
Element x y z (fractional)
1 Zn 0.1207 0.1207 0.3482
2 Zn 0.8793 0.8793 0.6518
3 O 0.3198 0.6802 0.5000
4 O 0.6802 0.3198 0.5000
5 F 0.0000 0.0000 0.0000
6 F 0.2894 0.2894 0.6766
7 F 0.7106 0.7106 0.3234



The following is a PBE calculation of ZnO2F2 after structural relaxation, from Alexandria.

Summary:
The volume comes out at 52 Å³ per cell. The calculation puts the formation energy (no corrections) at 119 meV/atom.

Cell lengths 3.7502, 3.7502, 3.6803 Å; angles 90.00, 90.00, 90.00 degrees
Element x y z (fractional)
1 Zn 0.0000 0.0000 0.0000
2 O 0.5000 0.5000 0.0000
3 O 0.5000 0.5000 0.5000
4 F 0.0000 0.5000 0.5000
5 F 0.5000 0.0000 0.5000



The following is a PBE calculation of ZnO2F2 after structural relaxation, from Alexandria.

Summary:
The volume comes out at 127 Å³ per cell. The calculation puts the formation energy (no corrections) at -376 meV/atom.

Cell lengths 5.8991, 5.8991, 8.5717 Å; angles 121.56, 121.56, 30.58 degrees
Element x y z (fractional)
1 Zn 0.2466 0.7534 0.7500
2 Zn 0.7534 0.2466 0.2500
3 O 0.0605 0.5689 0.7617
4 O 0.4311 0.9395 0.7383
5 O 0.5689 0.0605 0.2617
6 O 0.9395 0.4311 0.2383
7 F 0.1702 0.6635 0.0713
8 F 0.3365 0.8298 0.4287
9 F 0.6635 0.1702 0.5713
10 F 0.8298 0.3365 0.9287



The following is a PBE calculation of ZnOF4 after structural relaxation, from Alexandria.

Summary:
The volume comes out at 201 Å³ per cell. The calculation puts the formation energy (no corrections) at -1043 meV/atom.

Cell lengths 5.8561, 6.1186, 6.8599 Å; angles 107.77, 106.51, 108.65 degrees
Element x y z (fractional)
1 Zn 0.2464 0.4946 0.4946
2 Zn 0.7536 0.5054 0.5054
3 O 0.3604 0.1080 0.7155
4 O 0.6396 0.8920 0.2845
5 F 0.0198 0.4082 0.6485
6 F 0.2290 0.0602 0.8558
7 F 0.3736 0.2642 0.3459
8 F 0.3743 0.7020 0.1285
9 F 0.6257 0.2980 0.8715
10 F 0.6264 0.7358 0.6541
11 F 0.7710 0.9398 0.1442
12 F 0.9802 0.5918 0.3515